{"formula": "Pm3ScHg2", "functional": "PBE", "state": "relaxed", "lattice": [[3.766, 0.000, 0.000], [0.000, 3.766, 0.000], [0.000, 0.000, 12.011]], "species": ["Pm", "Pm", "Pm", "Sc", "Hg", "Hg"], "fractional_positions": [[0.000, 0.000, 0.000], [0.000, 0.000, 0.678], [0.000, 0.000, 0.322], [0.500, 0.500, 0.500], [0.500, 0.500, 0.833], [0.500, 0.500, 0.167]], "de_polymorph_ev_per_atom": 0.029, "m_tot_mub_per_fu": 1.20, "sg": "P4/mmm (123)", "delta_e_f_ev_per_atom": -0.2767}

---

{"formula": "InCoRu2", "functional": "PBE", "state": "relaxed", "lattice": [[3.689, 0.000, 0.000], [0.000, 2.812, 0.014], [0.000, 2.791, 5.735]], "species": ["Co", "In", "Ru", "Ru"], "fractional_positions": [[0.000, 0.522, 0.478], [0.500, 0.763, 0.738], [0.000, 0.965, 0.035], [0.500, 0.250, 0.250]], "m_tot_mub_per_fu": 1.07, "sg": "Pm (6)", "delta_e_f_ev_per_atom": 0.2137}

---

{"formula": "Ce2ZnHg4", "functional": "PBE", "state": "relaxed", "lattice": [[-5.060, -1.683, 0.059], [-1.150, -5.038, -1.319], [-1.327, -4.230, 6.533]], "species": ["Ce", "Ce", "Zn", "Hg", "Hg", "Hg", "Hg"], "fractional_positions": [[0.726, 0.726, 0.822], [0.274, 0.274, 0.178], [0.000, 0.000, 0.000], [0.873, 0.873, 0.381], [0.127, 0.127, 0.619], [0.574, 0.574, 0.277], [0.426, 0.426, 0.723]], "de_polymorph_ev_per_atom": 0.021, "m_tot_mub_per_fu": 2.34, "sg": "R-3m (166)", "delta_e_f_ev_per_atom": -0.2089}

---

{"formula": "NbCd2NiAs", "functional": "PBE", "state": "relaxed", "lattice": [[-4.587, 2.553, -1.280], [-2.546, -2.559, 4.021], [1.079, 3.350, 2.815]], "species": ["Ni", "Nb", "As", "Cd", "Cd"], "fractional_positions": [[0.000, 0.000, 0.500], [0.000, 0.000, 0.000], [0.500, 0.500, 0.500], [0.000, 0.500, 0.000], [0.500, 0.000, 0.000]], "m_tot_mub_per_fu": 0.61, "sg": "P4/mmm (123)", "delta_e_f_ev_per_atom": 1.3117}

---

{"formula": "Ac2LaCd3", "functional": "PBE", "state": "relaxed", "lattice": [[-1.403, -1.024, 3.639], [-1.135, -5.239, -1.911], [8.404, 0.081, 3.261]], "species": ["Ac", "Ac", "La", "Cd", "Cd", "Cd"], "fractional_positions": [[0.000, 0.333, 0.666], [0.000, 0.667, 0.334], [0.000, 0.000, 0.000], [0.500, 0.500, 0.000], [0.500, 0.840, 0.679], [0.500, 0.160, 0.321]], "m_tot_mub_per_fu": 0.01, "sg": "Cmmm (65)", "delta_e_f_ev_per_atom": -0.3035}

---

{"formula": "Tc2Ag2I", "functional": "PBE", "state": "relaxed", "lattice": [[-2.937, 2.374, 1.085], [-1.061, -2.578, 2.770], [1.916, 2.816, 6.141]], "species": ["I", "Tc", "Tc", "Ag", "Ag"], "fractional_positions": [[0.000, 0.000, 0.000], [0.414, 0.414, 0.173], [0.586, 0.586, 0.827], [0.750, 0.250, 0.500], [0.250, 0.750, 0.500]], "de_polymorph_ev_per_atom": 0.157, "m_tot_mub_per_fu": 0.00, "sg": "I4/mmm (139)", "raw_formation_energy_ev_per_atom": 0.962}

---

{"formula": "CuSiC3", "functional": "PBE", "state": "relaxed", "lattice": [[-0.670, -2.906, 2.254], [-1.709, -1.783, -2.806], [3.256, -1.534, -1.009]], "species": ["Si", "C", "C", "C", "Cu"], "fractional_positions": [[0.000, 0.000, 0.000], [0.000, 0.500, 0.000], [0.000, 0.000, 0.500], [0.500, 0.000, 0.000], [0.500, 0.500, 0.500]], "de_polymorph_ev_per_atom": 1.611, "m_tot_mub_per_fu": 0.00, "sg": "Pm-3m (221)", "raw_formation_energy_ev_per_atom": 2.086}

---

{"formula": "ZnAg2Ru", "functional": "PBE", "state": "relaxed", "lattice": [[-1.333, -4.011, -8.334], [1.309, -4.885, -7.857], [-0.871, -6.341, -6.808]], "species": ["Ag", "Ag", "Ru", "Zn"], "fractional_positions": [[0.004, 0.004, 0.004], [0.248, 0.248, 0.248], [0.495, 0.495, 0.495], [0.753, 0.753, 0.753]], "m_tot_mub_per_fu": 0.60, "sg": "R3m (160)", "delta_e_f_ev_per_atom": 0.1818}

---

no.,volume (Å³/cell)
1,170
2,59
3,179
4,132
5,196
6,100
7,52
8,64